The following is a PBE calculation of crystalline TbSmDy2Ho6 at its relaxed geometry, from the Alexandria database.

Properties
N(E_F) ... 14.469 states/eV/f.u.
Energy relative to the elements ... 12 kJ/mol of atoms
V ... 319.2 Å³/f.u.

a b c (Å): 8.744 8.744 9.526
angles (deg): 93.88 93.88 117.85
Fractional coordinates of all 20 atoms:
Tb: 0.091 0.909 0.750
Tb: 0.909 0.091 0.250
Sm: 0.476 0.524 0.250
Sm: 0.524 0.476 0.750
Dy: 0.199 0.304 0.955
Dy: 0.304 0.199 0.455
Dy: 0.696 0.801 0.545
Dy: 0.801 0.696 0.045
Ho: 0.007 0.792 0.381
Ho: 0.069 0.520 0.183
Ho: 0.208 0.993 0.119
Ho: 0.249 0.623 0.557
Ho: 0.377 0.751 0.943
Ho: 0.480 0.931 0.317
Ho: 0.520 0.069 0.683
Ho: 0.623 0.249 0.057
Ho: 0.751 0.377 0.443
Ho: 0.792 0.007 0.881
Ho: 0.931 0.480 0.817
Ho: 0.993 0.208 0.619